First-principles (PBE) data for crystalline Sr3CeZr2As6 at its relaxed geometry, as listed in Alexandria via LeMat-Bulk.

POSCAR file:
```
Sr3CeZr2As6
1.0
-0.852 -6.533 -2.858
6.145 3.582 -0.987
0.884 -1.940 7.182
Sr As Zr Ce
3 6 2 1
direct
0.500 0.500 0.500 Sr
0.165 0.835 0.500 Sr
0.835 0.165 0.500 Sr
0.072 0.415 0.215 As
0.585 0.928 0.785 As
0.272 0.272 0.786 As
0.928 0.585 0.785 As
0.415 0.072 0.215 As
0.728 0.728 0.214 As
0.333 0.667 0.000 Zr
0.667 0.333 0.000 Zr
0.000 0.000 0.000 Ce
```

Values from the calculation:
Its formation energy is -1.19 eV per atom.

First-principles (PBE) data for crystalline ScVBBr2 at its relaxed geometry, as listed in Alexandria via LeMat-Bulk.

POSCAR file:
```
ScVBBr2
1.0
5.192 0.000 0.000
0.000 4.526 0.000
0.000 0.000 5.192
Sc V Br B
1 1 2 1
direct
0.000 0.000 0.000 Sc
0.500 0.500 0.500 V
0.000 0.000 0.500 Br
0.500 0.000 0.000 Br
0.000 0.500 0.000 B
```

Values from the calculation:
The calculation puts the formation energy without anion corrections at 4.6 eV/f.u.

First-principles (PBE) data for crystalline BaNaCr3 at its relaxed geometry, as listed in Alexandria via LeMat-Bulk.

POSCAR file:
```
BaNaCr3
1.0
5.418 0.000 0.000
0.000 5.418 0.000
0.000 0.000 5.418
Cr Na Ba
3 1 1
direct
0.000 0.500 0.000 Cr
0.000 0.000 0.500 Cr
0.500 0.000 0.000 Cr
0.000 0.000 0.000 Na
0.500 0.500 0.500 Ba
```

Values from the calculation:
For the polymorph energy (0 for the lowest one), the calculation gives 0.0000 eV per atom. Its formation energy is 1.45 eV per atom.

First-principles (PBE) data for crystalline RbUCu2I8 at its relaxed geometry, as listed in Alexandria via LeMat-Bulk.

POSCAR file:
```
RbUCu2I8
1.0
-0.747 7.246 -0.788
-6.981 1.780 -1.333
-2.386 1.684 10.403
I U Rb Cu
8 1 1 2
direct
0.245 0.245 0.988 I
0.262 0.759 0.803 I
0.241 0.738 0.197 I
0.305 0.305 0.564 I
0.738 0.241 0.197 I
0.755 0.755 0.012 I
0.695 0.695 0.436 I
0.759 0.262 0.803 I
0.000 0.000 0.000 U
0.000 0.000 0.500 Rb
0.631 0.631 0.223 Cu
0.369 0.369 0.777 Cu
```

Values from the calculation:
The calculation puts the formation energy without anion corrections at -7.6 eV/f.u.

First-principles (PBE) data for crystalline Na3Tb3OsO8 at its relaxed geometry, as listed in Alexandria via LeMat-Bulk.

POSCAR file:
```
Na3Tb3OsO8
1.0
-4.787 -4.561 -1.246
2.532 0.611 6.204
-4.006 4.886 -2.496
Na O Tb Os
3 8 3 1
direct
0.500 0.500 0.000 Na
0.000 0.000 0.000 Na
0.000 0.500 0.000 Na
0.763 0.982 0.700 O
0.219 0.437 0.700 O
0.781 0.563 0.300 O
0.219 0.982 0.700 O
0.781 0.018 0.300 O
0.263 0.525 0.288 O
0.237 0.018 0.300 O
0.737 0.475 0.712 O
0.500 0.500 0.500 Tb
0.000 0.500 0.500 Tb
0.500 0.000 0.500 Tb
0.000 0.000 0.500 Os
```

Values from the calculation:
The calculation puts the formation energy without anion corrections at -35.3 eV/f.u.

First-principles (PBE) data for crystalline InRu2Rh at its relaxed geometry, as listed in Alexandria via LeMat-Bulk.

POSCAR file:
```
InRu2Rh
1.0
-0.277 4.629 1.483
-4.041 -1.442 -2.301
-1.096 -0.854 2.461
Rh Ru In
1 2 1
direct
0.000 0.500 0.500 Rh
0.000 0.000 0.000 Ru
0.500 0.500 0.000 Ru
0.500 0.000 0.500 In
```

Values from the calculation:
Its formation energy is 0.24 eV per atom.